An optimized crystal structure of KPuSe2, computed with PBE-GGA.

Values from the calculation:
**Total energy**: -7.05 eV/atom
**Raw formation energy**: -1.4538 eV/atom

Structure (POSCAR):
```
KPuSe2
1.0
2.128 1.228 7.789
-2.128 1.228 7.789
0.000 -2.457 7.789
K Pu Se
1 1 2
direct
0.000 0.000 0.000 K
0.830 0.830 0.830 Pu
0.231 0.231 0.231 Se
0.430 0.430 0.430 Se
```

---

An optimized crystal structure of K2PuSe3, computed with PBE-GGA.

Values from the calculation:
**Total energy**: -5.82 eV/atom
**Raw formation energy**: -1.3215 eV/atom

Structure (POSCAR):
```
K2PuSe3
1.0
3.784 -6.557 0.000
3.784 6.557 0.000
-2.574 0.000 7.611
K Pu Se
4 2 6
direct
0.000 0.000 0.000 K
0.156 0.844 0.500 K
0.500 0.500 0.500 K
0.844 0.156 0.500 K
0.333 0.667 0.000 Pu
0.667 0.333 0.000 Pu
0.071 0.445 0.207 Se
0.303 0.303 0.794 Se
0.445 0.071 0.207 Se
0.555 0.929 0.793 Se
0.697 0.697 0.206 Se
0.929 0.555 0.793 Se
```

---

An optimized crystal structure of K2Pu2Se5, computed with PBE-GGA.

Values from the calculation:
**Total energy**: -6.64 eV/atom
**Raw formation energy**: -1.2757 eV/atom

Structure (POSCAR):
```
K2Pu2Se5
1.0
8.097 -3.958 0.000
8.097 3.958 0.000
0.000 0.000 7.924
K Pu Se
4 4 10
direct
0.205 0.205 0.000 K
0.295 0.295 0.500 K
0.705 0.705 0.500 K
0.795 0.795 0.000 K
0.164 0.836 0.664 Pu
0.336 0.664 0.164 Pu
0.664 0.336 0.836 Pu
0.836 0.164 0.336 Pu
0.000 0.000 0.000 Se
0.031 0.743 0.356 Se
0.243 0.531 0.856 Se
0.257 0.969 0.356 Se
0.469 0.757 0.856 Se
0.500 0.500 0.500 Se
0.531 0.243 0.144 Se
0.743 0.031 0.644 Se
0.757 0.469 0.144 Se
0.969 0.257 0.644 Se
```